No. 1
# Mn2ZnIr, optimized geometry, DFT PBE
data_Mn2ZnIr
_space_group_name_H-M_alt 'P 1'
_space_group_IT_number 1
_cell_length_a 4.5682
_cell_length_b 4.5682
_cell_length_c 4.5686
_cell_angle_alpha 100.73
_cell_angle_beta 100.73
_cell_angle_gamma 34.70
loop_
_space_group_symop_operation_xyz
'x,y,z'
loop_
_atom_site_label
_atom_site_type_symbol
_atom_site_fract_x
_atom_site_fract_y
_atom_site_fract_z
_atom_site_occupancy
Mn1 Mn 0.0000 0.0000 0.0000 1
Mn2 Mn 0.2500 0.2500 0.7377 1
Zn1 Zn 0.4980 0.4980 0.5028 1
Ir1 Ir 0.7452 0.7452 0.2256 1
# - ρ: 11.46 g/cm3
# - SG: Cm

No. 2
# Mn2ZnIr, optimized geometry, DFT PBE
data_Mn2ZnIr
_space_group_name_H-M_alt 'P 1'
_space_group_IT_number 1
_cell_length_a 2.8348
_cell_length_b 3.5968
_cell_length_c 5.3833
_cell_angle_alpha 90.00
_cell_angle_beta 90.00
_cell_angle_gamma 90.00
loop_
_space_group_symop_operation_xyz
'x,y,z'
loop_
_atom_site_label
_atom_site_type_symbol
_atom_site_fract_x
_atom_site_fract_y
_atom_site_fract_z
_atom_site_occupancy
Mn1 Mn 0.0000 0.0000 0.0000 1
Mn2 Mn 0.5000 0.5000 0.2458 1
Zn1 Zn 0.0000 0.0000 0.4982 1
Ir1 Ir 0.5000 0.5000 0.7451 1
# - ρ: 11.12 g/cm3
# - SG: Pmm2

No. 3
# Mn2ZnIr, optimized geometry, DFT PBE
data_Mn2ZnIr
_space_group_name_H-M_alt 'P 1'
_space_group_IT_number 1
_cell_length_a 3.9689
_cell_length_b 5.0244
_cell_length_c 5.0244
_cell_angle_alpha 30.61
_cell_angle_beta 90.00
_cell_angle_gamma 90.00
loop_
_space_group_symop_operation_xyz
'x,y,z'
loop_
_atom_site_label
_atom_site_type_symbol
_atom_site_fract_x
_atom_site_fract_y
_atom_site_fract_z
_atom_site_occupancy
Mn1 Mn 0.0000 0.0000 0.0000 1
Mn2 Mn 0.5000 0.1235 0.1235 1
Zn1 Zn 0.0000 0.7377 0.7377 1
Ir1 Ir 0.5000 0.3860 0.3860 1
# - ρ: 11.96 g/cm3
# - SG: Amm2

No. 4
# MnZnIr, optimized geometry, DFT PBE
data_MnZnIr
_space_group_name_H-M_alt 'P 1'
_space_group_IT_number 1
_cell_length_a 4.2368
_cell_length_b 4.2368
_cell_length_c 2.7472
_cell_angle_alpha 90.00
_cell_angle_beta 90.00
_cell_angle_gamma 120.00
loop_
_space_group_symop_operation_xyz
'x,y,z'
loop_
_atom_site_label
_atom_site_type_symbol
_atom_site_fract_x
_atom_site_fract_y
_atom_site_fract_z
_atom_site_occupancy
Mn1 Mn 0.0000 0.0000 0.0000 1
Zn1 Zn 0.6667 0.3333 0.3111 1
Ir1 Ir 0.3333 0.6667 0.6774 1
# - ρ: 12.15 g/cm3
# - SG: P3m1

No. 5
# Mn2ZnIr9, optimized geometry, DFT PBE
data_Mn2ZnIr9
_space_group_name_H-M_alt 'P 1'
_space_group_IT_number 1
_cell_length_a 3.8323
_cell_length_b 3.8323
_cell_length_c 11.5123
_cell_angle_alpha 90.00
_cell_angle_beta 90.00
_cell_angle_gamma 90.00
loop_
_space_group_symop_operation_xyz
'x,y,z'
loop_
_atom_site_label
_atom_site_type_symbol
_atom_site_fract_x
_atom_site_fract_y
_atom_site_fract_z
_atom_site_occupancy
Mn1 Mn 0.0000 0.0000 0.1689 1
Mn2 Mn 0.0000 0.0000 0.8311 1
Zn1 Zn 0.0000 0.0000 0.5000 1
Ir1 Ir 0.0000 0.5000 0.0000 1
Ir2 Ir 0.0000 0.5000 0.3269 1
Ir3 Ir 0.0000 0.5000 0.6731 1
Ir4 Ir 0.5000 0.0000 0.0000 1
Ir5 Ir 0.5000 0.0000 0.3269 1
Ir6 Ir 0.5000 0.0000 0.6731 1
Ir7 Ir 0.5000 0.5000 0.1643 1
Ir8 Ir 0.5000 0.5000 0.5000 1
Ir9 Ir 0.5000 0.5000 0.8357 1
# - ρ: 18.71 g/cm3
# - SG: P4/mmm

No. 6
# Mn2ZnIr2, optimized geometry, DFT PBE
data_Mn2ZnIr2
_space_group_name_H-M_alt 'P 1'
_space_group_IT_number 1
_cell_length_a 7.2354
_cell_length_b 7.2354
_cell_length_c 2.8268
_cell_angle_alpha 90.00
_cell_angle_beta 90.00
_cell_angle_gamma 90.00
loop_
_space_group_symop_operation_xyz
'x,y,z'
loop_
_atom_site_label
_atom_site_type_symbol
_atom_site_fract_x
_atom_site_fract_y
_atom_site_fract_z
_atom_site_occupancy
Mn1 Mn 0.1606 0.3394 0.0000 1
Mn2 Mn 0.3394 0.8394 0.0000 1
Mn3 Mn 0.6606 0.1606 0.0000 1
Mn4 Mn 0.8394 0.6606 0.0000 1
Zn1 Zn 0.0000 0.0000 0.5000 1
Zn2 Zn 0.5000 0.5000 0.5000 1
Ir1 Ir 0.1369 0.6369 0.5000 1
Ir2 Ir 0.3631 0.1369 0.5000 1
Ir3 Ir 0.6369 0.8631 0.5000 1
Ir4 Ir 0.8631 0.3631 0.5000 1
# - ρ: 12.56 g/cm3
# - SG: P4/mbm
# - Polymorph energy (0 for the lowest one): 0.0 meV per atom

Energy of formation from the pure elements / eV/atom: -0.030, -0.103, 0.064, -0.038, -0.096, 0.021